No. 1
The following is a PBE-GGA calculation of a relaxed CeH8Ir2Pt crystal, from Alexandria.

abc: 6.368 6.368 6.368
angles: 43.89 43.89 43.89
Fractional coordinates of all 12 atoms:
Ce1 0.000 0.000 0.000
H1 0.134 0.422 0.761
H2 0.239 0.866 0.578
H3 0.319 0.319 0.319
H4 0.422 0.761 0.134
H5 0.578 0.239 0.866
H6 0.681 0.681 0.681
H7 0.761 0.134 0.422
H8 0.866 0.578 0.239
Ir1 0.226 0.226 0.226
Ir2 0.774 0.774 0.774
Pt1 0.500 0.500 0.500

Properties
The calculation puts the total magnetization at 0.90 μB per formula unit. Its uncorrected energy is -4.83 eV/atom. The calculation puts the density at 10723 kg/m³.

=====

No. 2
The following is a PBE-GGA calculation of a relaxed CeH8IrRh2 crystal, from Alexandria.

abc: 6.233 6.233 6.233
angles: 44.41 44.41 44.41
Fractional coordinates of all 12 atoms:
Ce1 0.000 0.000 0.000
H1 0.151 0.413 0.760
H2 0.240 0.849 0.587
H3 0.318 0.318 0.318
H4 0.413 0.760 0.151
H5 0.587 0.240 0.849
H6 0.682 0.682 0.682
H7 0.760 0.151 0.413
H8 0.849 0.587 0.240
Ir1 0.500 0.500 0.500
Rh1 0.221 0.221 0.221
Rh2 0.779 0.779 0.779

Properties
The calculation puts the total magnetization at 0.78 μB per formula unit. Its uncorrected energy is -4.86 eV/atom. The calculation puts the density at 8415 kg/m³.

=====

No. 3
The following is a PBE-GGA calculation of a relaxed Ce2H6IrRh crystal, from Alexandria.

abc: 10.608 10.608 10.608
angles: 27.31 27.31 27.31
Fractional coordinates of all 20 atoms:
Ce1 0.120 0.120 0.120
Ce2 0.296 0.296 0.296
Ce3 0.704 0.704 0.704
Ce4 0.880 0.880 0.880
H1 0.139 0.631 0.631
H2 0.204 0.204 0.710
H3 0.204 0.710 0.204
H4 0.290 0.796 0.796
H5 0.369 0.369 0.861
H6 0.369 0.861 0.369
H7 0.631 0.139 0.631
H8 0.631 0.631 0.139
H9 0.710 0.204 0.204
H10 0.796 0.290 0.796
H11 0.796 0.796 0.290
H12 0.861 0.369 0.369
Ir1 0.000 0.000 0.000
Ir2 0.500 0.500 0.500
Rh1 0.408 0.408 0.408
Rh2 0.592 0.592 0.592

Properties
The calculation puts the total magnetization at 2.07 μB per formula unit. Its uncorrected energy is -5.24 eV/atom. The calculation puts the density at 8705 kg/m³.

=====

No. 4
The following is a PBE-GGA calculation of a relaxed Ce2H6IrRu crystal, from Alexandria.

abc: 5.263 5.263 5.278
angles: 119.78 119.78 89.95
Fractional coordinates of all 10 atoms:
Ce1 0.250 0.750 0.000
Ce2 0.750 0.250 0.000
H1 0.249 0.751 0.500
H2 0.250 0.250 0.500
H3 0.251 0.251 0.001
H4 0.749 0.749 0.999
H5 0.750 0.750 0.500
H6 0.751 0.249 0.500
Ir1 0.000 0.000 0.500
Ru1 0.500 0.500 0.500

Properties
The calculation puts the total magnetization at 2.10 μB per formula unit. Its uncorrected energy is -5.44 eV/atom. The calculation puts the density at 9245 kg/m³.

=====

No. 5
The following is a PBE-GGA calculation of a relaxed CeH6IrRu crystal, from Alexandria.

abc: 4.658 4.658 4.323
angles: 90.00 90.00 120.00
Fractional coordinates of all 9 atoms:
Ce1 0.000 0.000 0.000
H1 0.000 0.500 0.224
H2 0.000 0.500 0.776
H3 0.500 0.000 0.224
H4 0.500 0.000 0.776
H5 0.500 0.500 0.224
H6 0.500 0.500 0.776
Ir1 0.667 0.333 0.500
Ru1 0.333 0.667 0.500

Properties
The calculation puts the total magnetization at 0.46 μB per formula unit. Its uncorrected energy is -5.14 eV/atom. The calculation puts the density at 8985 kg/m³.

=====

No. 6
The following is a PBE-GGA calculation of a relaxed Ce5Sb2HIr crystal, from Alexandria.

abc: 4.463 4.463 11.607
angles: 90.00 90.00 90.00
Fractional coordinates of all 9 atoms:
Ce1 0.000 0.000 0.000
Ce2 0.000 0.500 0.500
Ce3 0.500 0.000 0.500
Ce4 0.500 0.500 0.225
Ce5 0.500 0.500 0.775
Sb1 0.000 0.000 0.291
Sb2 0.000 0.000 0.709
H1 0.500 0.500 0.500
Ir1 0.500 0.500 0.000

Properties
The calculation puts the total magnetization at 5.01 μB per formula unit. Its uncorrected energy is -6.26 eV/atom. The calculation puts the density at 8169 kg/m³.

=====

No. 7
The following is a PBE-GGA calculation of a relaxed CeScH8Ir2 crystal, from Alexandria.

abc: 6.633 6.633 6.633
angles: 41.89 41.89 41.89
Fractional coordinates of all 12 atoms:
Ce1 0.000 0.000 0.000
Sc1 0.500 0.500 0.500
H1 0.096 0.393 0.822
H2 0.178 0.904 0.607
H3 0.321 0.321 0.321
H4 0.393 0.822 0.096
H5 0.607 0.178 0.904
H6 0.679 0.679 0.679
H7 0.822 0.096 0.393
H8 0.904 0.607 0.178
Ir1 0.232 0.232 0.232
Ir2 0.768 0.768 0.768

Properties
The calculation puts the total magnetization at 0.71 μB per formula unit. Its uncorrected energy is -4.99 eV/atom. The calculation puts the density at 8151 kg/m³.

=====

No. 8
The following is a PBE-GGA calculation of a relaxed CeSnH6Ir2 crystal, from Alexandria.

abc: 7.168 7.168 4.643
angles: 93.39 93.39 115.21
Fractional coordinates of all 20 atoms:
Ce1 0.164 0.836 0.750
Ce2 0.836 0.164 0.250
Sn1 0.378 0.622 0.250
Sn2 0.622 0.378 0.750
H1 0.036 0.705 0.199
H2 0.120 0.495 0.542
H3 0.163 0.170 0.484
H4 0.170 0.163 0.984
H5 0.295 0.964 0.301
H6 0.495 0.120 0.042
H7 0.505 0.880 0.958
H8 0.705 0.036 0.699
H9 0.830 0.837 0.016
H10 0.837 0.830 0.516
H11 0.880 0.505 0.458
H12 0.964 0.295 0.801
Ir1 0.212 0.373 0.757
Ir2 0.373 0.212 0.257
Ir3 0.627 0.788 0.743
Ir4 0.788 0.627 0.243

Properties
The calculation puts the total magnetization at 0.84 μB per formula unit. Its uncorrected energy is -5.05 eV/atom. The calculation puts the density at 10052 kg/m³.

=====

No. 9
The following is a PBE-GGA calculation of a relaxed TbCeH8Ir2 crystal, from Alexandria.

abc: 6.770 6.770 6.770
angles: 41.51 41.51 41.51
Fractional coordinates of all 12 atoms:
Tb1 0.000 0.000 0.000
Ce1 0.500 0.500 0.500
H1 0.115 0.527 0.527
H2 0.169 0.169 0.169
H3 0.473 0.473 0.885
H4 0.473 0.885 0.473
H5 0.527 0.115 0.527
H6 0.527 0.527 0.115
H7 0.831 0.831 0.831
H8 0.885 0.473 0.473
Ir1 0.257 0.257 0.257
Ir2 0.743 0.743 0.743

Properties
The calculation puts the total magnetization at 0.44 μB per formula unit. Its uncorrected energy is -4.87 eV/atom. The calculation puts the density at 9322 kg/m³.

=====

No. 10
The following is a PBE-GGA calculation of a relaxed CeTlH8Ir2 crystal, from Alexandria.

abc: 6.584 6.584 6.584
angles: 44.21 44.21 44.21
Fractional coordinates of all 12 atoms:
Ce1 0.000 0.000 0.000
Tl1 0.500 0.500 0.500
H1 0.031 0.031 0.609
H2 0.031 0.609 0.031
H3 0.320 0.320 0.320
H4 0.391 0.969 0.969
H5 0.609 0.031 0.031
H6 0.680 0.680 0.680
H7 0.969 0.391 0.969
H8 0.969 0.969 0.391
Ir1 0.229 0.229 0.229
Ir2 0.771 0.771 0.771

Properties
The calculation puts the total magnetization at 1.12 μB per formula unit. Its uncorrected energy is -4.39 eV/atom. The calculation puts the density at 9707 kg/m³.

=====

No. 11
The following is a PBE-GGA calculation of a relaxed CeYH8Ir2 crystal, from Alexandria.

abc: 6.758 6.758 6.758
angles: 41.64 41.64 41.64
Fractional coordinates of all 12 atoms:
Ce1 0.000 0.000 0.000
Y1 0.500 0.500 0.500
H1 0.016 0.038 0.615
H2 0.038 0.615 0.016
H3 0.330 0.330 0.330
H4 0.385 0.984 0.962
H5 0.615 0.016 0.038
H6 0.670 0.670 0.670
H7 0.962 0.385 0.984
H8 0.984 0.962 0.385
Ir1 0.242 0.242 0.242
Ir2 0.758 0.758 0.758

Properties
The calculation puts the total magnetization at 0.43 μB per formula unit. Its uncorrected energy is -5.02 eV/atom. The calculation puts the density at 8379 kg/m³.

=====

No. 12
The following is a PBE-GGA calculation of a relaxed CeZnH8Ir2 crystal, from Alexandria.

abc: 6.075 6.075 6.075
angles: 45.25 45.25 45.25
Fractional coordinates of all 12 atoms:
Ce1 0.000 0.000 0.000
Zn1 0.500 0.500 0.500
H1 0.117 0.556 0.556
H2 0.318 0.318 0.318
H3 0.444 0.444 0.883
H4 0.444 0.883 0.444
H5 0.556 0.117 0.556
H6 0.556 0.556 0.117
H7 0.682 0.682 0.682
H8 0.883 0.444 0.444
Ir1 0.217 0.217 0.217
Ir2 0.783 0.783 0.783

Properties
The calculation puts the total magnetization at 0.75 μB per formula unit. Its uncorrected energy is -4.45 eV/atom. The calculation puts the density at 9642 kg/m³.

=====

No. 13
The following is a PBE-GGA calculation of a relaxed CeZnH6Ir crystal, from Alexandria.

abc: 4.585 4.585 4.505
angles: 90.00 90.00 120.00
Fractional coordinates of all 9 atoms:
Ce1 0.000 0.000 0.000
Zn1 0.667 0.333 0.500
H1 0.022 0.511 0.224
H2 0.022 0.511 0.776
H3 0.489 0.511 0.224
H4 0.489 0.511 0.776
H5 0.489 0.978 0.224
H6 0.489 0.978 0.776
Ir1 0.333 0.667 0.500

Properties
The calculation puts the total magnetization at 1.04 μB per formula unit. Its uncorrected energy is -4.26 eV/atom. The calculation puts the density at 8176 kg/m³.

=====

No. 14
The following is a PBE-GGA calculation of a relaxed K2CeH6 crystal, from Alexandria.

abc: 6.397 6.397 6.397
angles: 60.00 60.00 60.00
Fractional coordinates of all 9 atoms:
K1 0.250 0.250 0.250
K2 0.750 0.750 0.750
Ce1 0.000 0.000 0.000
H1 0.240 0.240 0.760
H2 0.240 0.760 0.240
H3 0.240 0.760 0.760
H4 0.760 0.240 0.240
H5 0.760 0.240 0.760
H6 0.760 0.760 0.240

Properties
The calculation puts the total magnetization at 0.00 μB per formula unit. Its uncorrected energy is -3.03 eV/atom. The calculation puts the density at 2013 kg/m³.

=====

No. 15
The following is a PBE-GGA calculation of a relaxed KCeH crystal, from Alexandria.

abc: 14.138 3.549 3.549
angles: 59.99 90.00 90.00
Fractional coordinates of all 6 atoms:
K1 0.125 0.000 0.000
K2 0.875 0.000 0.000
Ce1 0.392 0.670 0.670
Ce2 0.608 0.670 0.670
H1 0.000 0.666 0.666
H2 0.500 0.003 0.003

Properties
The calculation puts the total magnetization at 1.60 μB per formula unit. Its uncorrected energy is -3.34 eV/atom. The calculation puts the density at 3881 kg/m³.

=====

No. 16
The following is a PBE-GGA calculation of a relaxed K2LiCeH6 crystal, from Alexandria.

abc: 6.190 6.190 6.190
angles: 60.00 60.00 60.00
Fractional coordinates of all 10 atoms:
K1 0.250 0.250 0.250
K2 0.750 0.750 0.750
Li1 0.000 0.000 0.000
Ce1 0.500 0.500 0.500
H1 0.238 0.238 0.762
H2 0.238 0.762 0.238
H3 0.238 0.762 0.762
H4 0.762 0.238 0.238
H5 0.762 0.238 0.762
H6 0.762 0.762 0.238

Properties
The calculation puts the total magnetization at 0.99 μB per formula unit. Its uncorrected energy is -3.15 eV/atom. The calculation puts the density at 2290 kg/m³.

=====

No. 17
The following is a PBE-GGA calculation of a relaxed K2CeNi3H12 crystal, from Alexandria.

abc: 6.173 6.173 6.173
angles: 64.96 64.96 64.96
Fractional coordinates of all 18 atoms:
K1 0.108 0.108 0.108
K2 0.892 0.892 0.892
Ce1 0.500 0.500 0.500
Ni1 0.000 0.500 0.500
Ni2 0.500 0.000 0.500
Ni3 0.500 0.500 0.000
H1 0.072 0.622 0.622
H2 0.234 0.234 0.577
H3 0.234 0.577 0.234
H4 0.378 0.378 0.928
H5 0.378 0.928 0.378
H6 0.423 0.766 0.766
H7 0.577 0.234 0.234
H8 0.622 0.072 0.622
H9 0.622 0.622 0.072
H10 0.766 0.423 0.766
H11 0.766 0.766 0.423
H12 0.928 0.378 0.378

Properties
The calculation puts the total magnetization at 1.27 μB per formula unit. Its uncorrected energy is -3.85 eV/atom. The calculation puts the density at 3661 kg/m³.

=====

No. 18
The following is a PBE-GGA calculation of a relaxed K2CeH2O4 crystal, from Alexandria.

abc: 6.504 6.504 6.433
angles: 107.90 107.90 31.00
Fractional coordinates of all 9 atoms:
K1 0.142 0.142 0.073
K2 0.858 0.858 0.927
Ce1 0.000 0.000 0.500
H1 0.243 0.243 0.593
H2 0.757 0.757 0.407
O1 0.199 0.199 0.692
O2 0.483 0.483 0.709
O3 0.517 0.517 0.291
O4 0.801 0.801 0.308

Properties
The calculation puts the total magnetization at 0.00 μB per formula unit. Its uncorrected energy is -5.81 eV/atom. The calculation puts the density at 3554 kg/m³.

=====

No. 19
The following is a PBE-GGA calculation of a relaxed K2CeH12Pd3 crystal, from Alexandria.

abc: 6.409 6.409 6.409
angles: 66.71 66.71 66.71
Fractional coordinates of all 18 atoms:
K1 0.111 0.111 0.111
K2 0.889 0.889 0.889
Ce1 0.500 0.500 0.500
H1 0.088 0.625 0.625
H2 0.233 0.233 0.578
H3 0.233 0.578 0.233
H4 0.375 0.375 0.912
H5 0.375 0.912 0.375
H6 0.422 0.767 0.767
H7 0.578 0.233 0.233
H8 0.625 0.088 0.625
H9 0.625 0.625 0.088
H10 0.767 0.422 0.767
H11 0.767 0.767 0.422
H12 0.912 0.375 0.375
Pd1 0.000 0.500 0.500
Pd2 0.500 0.000 0.500
Pd3 0.500 0.500 0.000

Properties
The calculation puts the total magnetization at 1.17 μB per formula unit. Its uncorrected energy is -3.79 eV/atom. The calculation puts the density at 4285 kg/m³.

=====

No. 20
The following is a PBE-GGA calculation of a relaxed KCeH8Pt2 crystal, from Alexandria.

abc: 7.740 7.740 7.740
angles: 36.60 36.60 36.60
Fractional coordinates of all 12 atoms:
K1 0.000 0.000 0.000
Ce1 0.500 0.500 0.500
H1 0.084 0.567 0.567
H2 0.142 0.142 0.142
H3 0.433 0.433 0.916
H4 0.433 0.916 0.433
H5 0.567 0.084 0.567
H6 0.567 0.567 0.084
H7 0.858 0.858 0.858
H8 0.916 0.433 0.433
Pt1 0.220 0.220 0.220
Pt2 0.780 0.780 0.780

Properties
The calculation puts the total magnetization at 0.89 μB per formula unit. Its uncorrected energy is -3.98 eV/atom. The calculation puts the density at 6497 kg/m³.